Entry 1:
Here is crystalline In3Hg5 at its relaxed geometry from Alexandria via LeMat-Bulk. Energies are from PBEsol.

The calculation puts the relative energy among the computed polymorphs at 0.021 eV per atom. The formation energy comes out at 0.00 eV per formula unit. Its total magnetization is 0.0 μB per cell. Its total DFT energy (no corrections) is -1.47 eV/atom.

The space group is I4/mcm (No. 140) and the conventional cell measures 11.538, 11.538 and 5.841 Å, with angles of 90.00, 90.00 and 90.00 degrees. The asymmetric unit holds In at (0.000, 0.000, 0.250), In at (0.177, 0.323, 0.000), Hg at (0.000, 0.500, 0.250) and Hg at (0.069, 0.237, 0.500).

---

Entry 2:
Here is crystalline Sc2MoCl at its relaxed geometry from Alexandria via LeMat-Bulk. Energies are from PBEsol.

The calculation puts the relative energy among the computed polymorphs at 0.081 eV per atom. Its total magnetization is 0.0 μB per cell. The value obtained for the uncorrected formation energy is -455 meV per atom. Its total DFT energy (no corrections) is -7.20 eV/atom.

The space group is P4/mmm (No. 123) and the conventional cell measures 3.203, 3.203 and 7.427 Å, with angles of 90.00, 90.00 and 90.00 degrees. The asymmetric unit holds Sc at (0.000, 0.000, 0.219), Mo at (0.500, 0.500, 0.000) and Cl at (0.500, 0.500, 0.500).